The following is a DFT calculation (PBE) of CeEr4Tm5 after structural relaxation.

```
CeEr4Tm5
1.0
-5.201 5.201 2.874
5.201 -5.201 2.874
5.201 5.201 -2.874
Ce Er Tm
1 4 5
Direct
0.000 0.000 0.000 Ce
0.066 0.740 0.326 Er
0.414 0.740 0.674 Er
0.740 0.066 0.326 Er
0.740 0.414 0.674 Er
0.055 0.055 0.626 Tm
0.055 0.429 0.000 Tm
0.429 0.055 0.000 Tm
0.429 0.429 0.374 Tm
0.529 0.529 0.000 Tm
```

Computed properties:
* offset from the most stable computed form: 0.17 eV per formula unit
* ΔH_f (0 K): 270 kJ/mol of formula units
* total energy: -4.375 eV/atom
* V: 311.0 Å³/cell
* space-group type: I4mm